Entry from Alexandria via LeMat-Bulk: crystalline Nd5Hg2Pd at its relaxed geometry (PBE).

## Properties
formation energy from the elements = -3.30 eV/f.u.
symmetry = Pbam, No. 55

abc: 7.062 12.712 5.188
angles: 90.00 90.00 90.00
Element x y z (fractional)
Nd1 0.000 0.000 0.000
Nd2 0.136 0.287 0.000
Nd3 0.169 0.594 0.500
Nd4 0.331 0.094 0.500
Nd5 0.364 0.787 0.000
Nd6 0.500 0.500 0.000
Nd7 0.636 0.213 0.000
Nd8 0.669 0.906 0.500
Nd9 0.831 0.406 0.500
Nd10 0.864 0.713 0.000
Hg1 0.105 0.847 0.500
Hg2 0.395 0.347 0.500
Hg3 0.605 0.653 0.500
Hg4 0.895 0.153 0.500
Pd1 0.000 0.500 0.000
Pd2 0.500 0.000 0.000